DFT (PBE) results for a relaxed AcLuZnGe crystal.

## Properties
DFT formation energy = -0.3907 eV/atom
Crystal system = cubic
Size of the total moment = 0.00 μB/cell

Cell lengths 7.4068, 7.4068, 7.4068 Å; angles 90.00, 90.00, 90.00 degrees
Last column: nearest neighbours and their distance in Å.
Space group F-43m (No. 216)
Unique sites:
Ac 0.0000 0.0000 0.0000  4 Zn 3.21, 4 Ge 3.21
Lu 0.0000 0.0000 0.5000  4 Ge 3.21, 4 Zn 3.21
Zn 0.2500 0.2500 0.7500  4 Lu 3.21, 4 Ac 3.21
Ge 0.2500 0.2500 0.2500  4 Ac 3.21, 4 Lu 3.21


DFT (PBE) results for a relaxed Ac3Mg3Ge8 crystal.

## Properties
DFT formation energy = -0.3937 eV/atom
Crystal system = orthorhombic
Size of the total moment = 0.00 μB/cell

Cell lengths 4.1287, 10.2293, 16.1836 Å; angles 90.00, 90.00, 90.00 degrees
Last column: nearest neighbours and their distance in Å.
Space group Immm (No. 71)
Unique sites:
Ac 0.0000 0.0000 0.0000  12 Ge 3.42-3.68, 4 Mg 3.62
Ac 0.0000 0.0000 0.2820  8 Ge 3.27-3.38
Mg 0.0000 0.2095 0.5000  6 Ge 2.77-2.92, 2 Mg 2.98
Mg 0.0000 0.5000 0.0000  4 Ge 2.92, 4 Mg 2.98
Ge 0.0000 0.2981 0.1275  2 Ge 2.63, 3 Mg 2.92
Ge 0.0000 0.3585 0.3568  3 Ge 2.63-2.89, 1 Mg 2.77


DFT (PBE) results for a relaxed Ac2MgGe crystal.

## Properties
DFT formation energy = -0.3688 eV/atom
Crystal system = monoclinic
Size of the total moment = 0.00 μB/cell

Cell lengths 6.5707, 4.4523, 9.5127 Å; angles 90.00, 108.28, 90.00 degrees
Last column: nearest neighbours and their distance in Å.
Space group P2_1/m (No. 11)
Unique sites:
Ac 0.2021 0.2500 0.4240  4 Mg 3.40-3.68, 3 Ge 3.41-3.72
Ac 0.2739 0.7500 0.0724  4 Ge 3.32-3.64, 3 Mg 3.47-3.50
Mg 0.3419 0.7500 0.7222  2 Ge 2.80
Ge 0.1422 0.2500 0.8002  2 Mg 2.80


DFT (PBE) results for a relaxed Ac3MgGe4 crystal.

## Properties
DFT formation energy = -0.5825 eV/atom
Crystal system = orthorhombic
Size of the total moment = 0.00 μB/cell

Cell lengths 4.7457, 6.2611, 16.4682 Å; angles 90.00, 90.00, 90.00 degrees
Last column: nearest neighbours and their distance in Å.
Space group Immm (No. 71)
Unique sites:
Ac 0.0000 0.0000 0.0000  8 Ge 3.37
Ac 0.0000 0.5000 0.1897  6 Ge 3.22-3.30
Mg 0.0000 0.0000 0.5000  4 Ge 2.79
Ge 0.0000 0.3020 0.3754  1 Ge 2.48


DFT (PBE) results for a relaxed Ac3MgGe3 crystal.

## Properties
DFT formation energy = -0.5088 eV/atom
Crystal system = hexagonal
Size of the total moment = 0.00 μB/cell
Energy above the most stable polymorph in this dataset = 132 meV/atom

Cell lengths 9.4314, 9.4314, 6.4014 Å; angles 90.00, 90.00, 120.00 degrees
Last column: nearest neighbours and their distance in Å.
Space group P6_3/m (No. 176)
Unique sites:
Ac 0.0543 0.7028 0.2500  5 Ge 3.17-3.24
Mg 0.3333 0.6667 0.7500  3 Ge 2.70
Ge 0.0530 0.6791 0.7500  1 Mg 2.70


DFT (PBE) results for a relaxed Ac2MgGe3 crystal.

## Properties
DFT formation energy = -0.5816 eV/atom
Crystal system = orthorhombic
Size of the total moment = 0.00 μB/cell
Energy above the most stable polymorph in this dataset = 0 meV/atom

Cell lengths 4.5439, 4.6596, 7.6732 Å; angles 90.00, 90.00, 90.00 degrees
Last column: nearest neighbours and their distance in Å.
Space group Pmm2 (No. 25)
Unique sites:
Ac 0.0000 0.0000 0.0000  8 Ge 3.33-3.52, 4 Mg 3.55
Ac 0.0000 0.5000 0.4711  10 Ge 3.29-3.53, 2 Mg 3.48
Mg 0.5000 0.5000 0.8147  3 Ge 2.65
Ge 0.5000 0.0000 0.3177  3 Ge 2.55-2.62
Ge 0.5000 0.0000 0.6503  1 Ge 2.55, 2 Mg 2.65
Ge 0.5000 0.5000 0.1606  2 Ge 2.62, 1 Mg 2.65


DFT (PBE) results for a relaxed Ac6Mg23Ge crystal.

## Properties
DFT formation energy = -0.1536 eV/atom
Crystal system = cubic
Size of the total moment = 0.00 μB/cell

Cell lengths 14.9207, 14.9207, 14.9207 Å; angles 90.00, 90.00, 90.00 degrees
Last column: nearest neighbours and their distance in Å.
Space group Fm-3m (No. 225)
Unique sites:
Ac 0.0000 0.0000 0.2095  1 Ge 3.13
Mg 0.0000 0.0000 0.5000  8 Mg 3.19
Mg 0.0000 0.2500 0.2500  8 Mg 3.05-3.25
Mg 0.1233 0.1233 0.3767  7 Mg 3.19-3.25
Mg 0.1742 0.1742 0.1742  9 Mg 3.05-3.21
Ge 0.0000 0.0000 0.0000  6 Ac 3.13


DFT (PBE) results for a relaxed Ac4Mg5Ge6 crystal.

## Properties
DFT formation energy = -0.6001 eV/atom
Crystal system = orthorhombic
Size of the total moment = 0.00 μB/cell

Cell lengths 4.6232, 20.6511, 16.7309 Å; angles 90.00, 90.00, 90.00 degrees
Last column: nearest neighbours and their distance in Å.
Space group Cmc2_1 (No. 36)
Unique sites:
Ac 0.0000 0.0136 0.0000  7 Ge 3.33-3.50, 3 Mg 3.56-3.64
Ac 0.0000 0.0318 0.2619  6 Ge 3.30-3.35, 5 Mg 3.42-3.50
Ac 0.0000 0.1667 0.8023  6 Ge 3.23-3.36
Ac 0.0000 0.1765 0.4430  6 Ge 3.20-3.34
Mg 0.0000 0.1541 0.1229  4 Ge 2.72-2.87, 1 Mg 3.00
Mg 0.0000 0.2993 0.1212  4 Ge 2.77-2.91, 2 Mg 2.98-3.00
Mg 0.0000 0.3412 0.7613  4 Ge 2.71-2.95
Mg 0.0000 0.3509 0.4836  4 Ge 2.75-2.92
Mg 0.0000 0.4393 0.1640  3 Ge 2.68-2.81, 1 Mg 2.98
Ge 0.0000 0.1154 0.6196  4 Mg 2.68-2.91
Ge 0.0000 0.2214 0.9833  4 Mg 2.72-2.81
Ge 0.0000 0.2272 0.2612  4 Mg 2.71-2.77
Ge 0.0000 0.4279 0.6261  5 Mg 2.81-2.89
Ge 0.0000 0.4334 0.8956  1 Ge 2.63, 1 Mg 2.95
Ge 0.0000 0.4441 0.3520  1 Ge 2.63, 1 Mg 2.92